(1)
Material: Al4Ag3
Method: DFT, PBEsol
State: relaxed

Computed properties:
The distance to the lowest polymorph of the same formula comes out at 23 meV/atom. Its crystal system is orthorhombic. The calculation puts the calculated density at 6.34 g/cm3. The calculated formation energy comes out at -0.045 eV/atom.

a = 10.299 Å, b = 10.299 Å, c = 10.299 Å
α = 163.88°, β = 158.10°, γ = 27.31°
Fractional positions:
Al  0.000  0.000  0.000
Al  0.144  0.144  0.000
Al  0.291  0.291  0.000
Al  0.573  0.573  0.000
Ag  0.435  0.435  0.000
Ag  0.715  0.715  0.000
Ag  0.857  0.857  0.000

---

(2)
Material: SbSe6IF6
Method: DFT, PBEsol
State: relaxed

Computed properties:
Its crystal system is monoclinic. The formation energy (no corrections) is -1.1767 eV/atom. The calculation puts the calculated density at 4.29 g/cm3.

a = 9.416 Å, b = 6.844 Å, c = 11.581 Å
α = 90.00°, β = 119.80°, γ = 90.00°
Fractional positions:
Sb  0.000  0.000  0.000
Sb  0.000  0.000  0.500
Se  0.241  0.434  0.385
Se  0.241  0.566  0.885
Se  0.339  0.240  0.892
Se  0.339  0.760  0.392
Se  0.438  0.236  0.382
Se  0.438  0.764  0.882
Se  0.562  0.236  0.118
Se  0.562  0.764  0.618
Se  0.661  0.240  0.608
Se  0.661  0.760  0.108
Se  0.759  0.434  0.115
Se  0.759  0.566  0.615
I  0.500  0.260  0.750
I  0.500  0.740  0.250
F  0.069  0.224  0.614
F  0.069  0.776  0.114
F  0.086  0.110  0.396
F  0.086  0.890  0.896
F  0.206  0.125  0.111
F  0.206  0.875  0.611
F  0.794  0.125  0.389
F  0.794  0.875  0.889
F  0.914  0.110  0.104
F  0.914  0.890  0.604
F  0.931  0.224  0.886
F  0.931  0.776  0.386

---

| no. | VASP energy (eV for the cell shown) |
| --- | --- |
| 1 | -26.61 |
| 2 | -114.93 |